# 1
Ba2Ag2Bi | GGA-PBE | optimized geometry

Unit cell a=9.561 b=9.561 c=4.055 alpha=90.00 beta=90.00 gamma=90.00
Element x y z (fractional)
Ba 0.179 0.321 0.000
Ba 0.321 0.821 0.000
Ba 0.679 0.179 0.000
Ba 0.821 0.679 0.000
Ag 0.109 0.609 0.500
Ag 0.391 0.109 0.500
Ag 0.609 0.891 0.500
Ag 0.891 0.391 0.500
Bi 0.000 0.000 0.000
Bi 0.500 0.500 0.000

Results
As for the space-group type: P4/mbm, No. 127. The energy of formation is -0.2118 eV per atom. For the total energy, the calculation gives -0.106 Ha/atom. Its volume is 37.06 Å³ per atom. The energy relative to the lowest polymorph listed for this composition comes out at 0.229 eV/atom.

***

# 2
BaAgBi | GGA-PBE | optimized geometry

Unit cell a=10.262 b=10.262 c=10.262 alpha=28.53 beta=28.53 gamma=28.53
Element x y z (fractional)
Ba 0.000 0.000 0.000
Ba 0.500 0.500 0.500
Ag 0.107 0.107 0.107
Ag 0.893 0.893 0.893
Bi 0.247 0.247 0.247
Bi 0.753 0.753 0.753

Results
As for the space-group type: R-3m, No. 166. The energy of formation is -0.5277 eV per atom. For the total energy, the calculation gives -0.125 Ha/atom. Its volume is 36.33 Å³ per atom.

***

# 3
BaAgBi | GGA-PBE | optimized geometry

Unit cell a=5.829 b=5.829 c=7.033 alpha=90.00 beta=90.00 gamma=120.00
Element x y z (fractional)
Ba 0.333 0.667 0.250
Ba 0.667 0.333 0.750
Ag 0.000 0.000 0.000
Ag 0.000 0.000 0.500
Bi 0.333 0.667 0.750
Bi 0.667 0.333 0.250

Results
As for the space-group type: P6_3/mmc, No. 194. The energy of formation is -0.2888 eV per atom. For the total energy, the calculation gives -0.117 Ha/atom. Its volume is 34.49 Å³ per atom.

***

# 4
Ba2Ag2Bi | GGA-PBE | optimized geometry

Unit cell a=6.359 b=6.359 c=6.359 alpha=118.94 beta=118.94 gamma=91.85
Element x y z (fractional)
Ba 0.250 0.750 0.500
Ba 0.750 0.250 0.500
Ag 0.151 0.151 0.000
Ag 0.849 0.849 0.000
Bi 0.500 0.500 0.000

Results
As for the space-group type: I4/mmm, No. 139. The energy of formation is -0.3466 eV per atom. For the total energy, the calculation gives -0.111 Ha/atom. Its volume is 36.93 Å³ per atom. The energy relative to the lowest polymorph listed for this composition comes out at 0.095 eV/atom.

***

# 5
BaAg3Bi3 | GGA-PBE | optimized geometry

Unit cell a=7.899 b=7.899 c=7.899 alpha=90.00 beta=90.00 gamma=90.00
Element x y z (fractional)
Ba 0.000 0.000 0.000
Ba 0.500 0.500 0.500
Ag 0.000 0.250 0.500
Ag 0.000 0.750 0.500
Ag 0.250 0.500 0.000
Ag 0.500 0.000 0.250
Ag 0.500 0.000 0.750
Ag 0.750 0.500 0.000
Bi 0.000 0.500 0.250
Bi 0.000 0.500 0.750
Bi 0.250 0.000 0.500
Bi 0.500 0.250 0.000
Bi 0.500 0.750 0.000
Bi 0.750 0.000 0.500

Results
As for the space-group type: Pm-3n, No. 223. The energy of formation is -0.0063 eV per atom. For the total energy, the calculation gives -0.116 Ha/atom. Its volume is 35.20 Å³ per atom. The energy relative to the lowest polymorph listed for this composition comes out at 0.170 eV/atom.

***

# 6
Ba2Ag2Bi | GGA-PBE | optimized geometry

Unit cell a=10.254 b=10.254 c=10.254 alpha=156.29 beta=156.29 gamma=33.78
Element x y z (fractional)
Ba 0.106 0.106 0.000
Ba 0.894 0.894 0.000
Ag 0.250 0.750 0.500
Ag 0.750 0.250 0.500
Bi 0.500 0.500 0.000

Results
As for the space-group type: I4/mmm, No. 139. The energy of formation is -0.3735 eV per atom. For the total energy, the calculation gives -0.112 Ha/atom. Its volume is 34.83 Å³ per atom. The energy relative to the lowest polymorph listed for this composition comes out at 0.068 eV/atom.

***

# 7
BaAgBi | GGA-PBE | optimized geometry

Unit cell a=9.338 b=9.338 c=9.338 alpha=149.42 beta=149.42 gamma=43.79
Element x y z (fractional)
Ba 0.000 0.000 0.000
Ba 0.750 0.250 0.500
Ag 0.166 0.666 0.500
Ag 0.416 0.416 0.000
Bi 0.332 0.832 0.500
Bi 0.582 0.582 0.000

Results
As for the space-group type: I4_1md, No. 109. The energy of formation is -0.6092 eV per atom. For the total energy, the calculation gives -0.128 Ha/atom. Its volume is 35.02 Å³ per atom.

***

# 8
BaAg2Bi | GGA-PBE | optimized geometry

Unit cell a=10.903 b=10.903 c=10.903 alpha=151.67 beta=151.67 gamma=40.50
Element x y z (fractional)
Ba 0.000 0.000 0.000
Ba 0.750 0.250 0.500
Ag 0.322 0.625 0.197
Ag 0.375 0.572 0.697
Ag 0.428 0.125 0.803
Ag 0.875 0.678 0.303
Bi 0.250 0.750 0.500
Bi 0.500 0.500 0.000

Results
As for the space-group type: I-42d, No. 122. The energy of formation is -0.2091 eV per atom. For the total energy, the calculation gives -0.113 Ha/atom. Its volume is 36.42 Å³ per atom.

***

# 9
BaAgBi | GGA-PBE | optimized geometry

Unit cell a=4.981 b=4.981 c=4.868 alpha=90.00 beta=90.00 gamma=120.00
Element x y z (fractional)
Ba 0.000 0.000 0.000
Ag 0.667 0.333 0.501
Bi 0.333 0.667 0.500

Results
As for the space-group type: P3m1, No. 156. The energy of formation is -0.6257 eV per atom. For the total energy, the calculation gives -0.129 Ha/atom. Its volume is 34.87 Å³ per atom.

***

# 10
BaAgBi | GGA-PBE | optimized geometry

Unit cell a=5.093 b=5.093 c=7.856 alpha=90.00 beta=90.00 gamma=90.00
Element x y z (fractional)
Ba 0.250 0.250 0.200
Ba 0.750 0.750 0.800
Ag 0.250 0.750 0.500
Ag 0.750 0.250 0.500
Bi 0.250 0.250 0.720
Bi 0.750 0.750 0.280

Results
As for the space-group type: P4/nmm, No. 129. The energy of formation is -0.5957 eV per atom. For the total energy, the calculation gives -0.128 Ha/atom. Its volume is 33.96 Å³ per atom.

***

# 11
Ba4AgBi8 | GGA-PBE | optimized geometry

Unit cell a=4.797 b=5.212 c=19.017 alpha=90.00 beta=90.00 gamma=90.00
Element x y z (fractional)
Ba 0.000 0.000 0.000
Ba 0.000 0.500 0.483
Ba 0.500 0.000 0.788
Ba 0.500 0.500 0.283
Ag 0.000 0.500 0.715
Bi 0.000 0.000 0.325
Bi 0.000 0.000 0.629
Bi 0.000 0.500 0.134
Bi 0.000 0.500 0.865
Bi 0.500 0.000 0.147
Bi 0.500 0.000 0.435
Bi 0.500 0.500 0.629
Bi 0.500 0.500 0.977

Results
As for the space-group type: Pmm2, No. 25. The energy of formation is -0.5665 eV per atom. For the total energy, the calculation gives -0.138 Ha/atom. Its volume is 36.57 Å³ per atom.

***

# 12
BaAgBi | GGA-PBE | optimized geometry

Unit cell a=5.749 b=5.749 c=13.870 alpha=90.00 beta=90.00 gamma=120.00
Element x y z (fractional)
Ba 0.000 0.000 0.250
Ba 0.000 0.000 0.750
Ag 0.333 0.667 0.250
Ag 0.667 0.333 0.750
Bi 0.000 0.000 0.000
Bi 0.000 0.000 0.500

Results
As for the space-group type: P6_3/mmc, No. 194. The energy of formation is 0.5967 eV per atom. For the total energy, the calculation gives -0.084 Ha/atom. Its volume is 66.16 Å³ per atom.

***

# 13
BaAgBi | GGA-PBE | optimized geometry

Unit cell a=6.956 b=6.956 c=6.956 alpha=138.07 beta=100.34 gamma=94.40
Element x y z (fractional)
Ba 0.249 0.249 0.000
Ba 0.751 0.751 0.000
Ag 0.345 0.000 0.345
Ag 0.655 0.000 0.655
Bi 0.177 0.500 0.677
Bi 0.823 0.500 0.323

Results
As for the space-group type: Immm, No. 71. The energy of formation is -0.5545 eV per atom. For the total energy, the calculation gives -0.126 Ha/atom. Its volume is 34.94 Å³ per atom.

***

# 14
BaAgBi | GGA-PBE | optimized geometry

Unit cell a=4.822 b=6.315 c=7.312 alpha=99.03 beta=109.24 gamma=90.07
Element x y z (fractional)
Ba 0.108 0.296 0.216
Ba 0.892 0.704 0.784
Ag 0.225 0.870 0.450
Ag 0.775 0.130 0.550
Bi 0.391 0.255 0.782
Bi 0.609 0.745 0.218

Results
As for the space-group type: P-1, No. 2. The energy of formation is -0.5262 eV per atom. For the total energy, the calculation gives -0.125 Ha/atom. Its volume is 34.55 Å³ per atom.

***

# 15
BaAgBi | GGA-PBE | optimized geometry

Unit cell a=6.748 b=6.748 c=8.604 alpha=129.43 beta=129.43 gamma=44.34
Element x y z (fractional)
Ba 0.046 0.046 0.295
Ba 0.954 0.954 0.705
Ag 0.349 0.349 0.899
Ag 0.651 0.651 0.101
Bi 0.331 0.331 0.269
Bi 0.669 0.669 0.731

Results
As for the space-group type: C2/m, No. 12. The energy of formation is -0.5159 eV per atom. For the total energy, the calculation gives -0.125 Ha/atom. Its volume is 33.21 Å³ per atom.

***

# 16
Ba3Ag2Bi4 | GGA-PBE | optimized geometry

Unit cell a=6.999 b=6.999 c=9.849 alpha=104.26 beta=104.26 gamma=43.02
Element x y z (fractional)
Ba 0.000 0.000 0.000
Ba 0.379 0.379 0.313
Ba 0.621 0.621 0.687
Ag 0.298 0.298 0.627
Ag 0.702 0.702 0.373
Bi 0.092 0.092 0.388
Bi 0.287 0.287 0.925
Bi 0.713 0.713 0.075
Bi 0.908 0.908 0.612

Results
As for the space-group type: C2/m, No. 12. The energy of formation is -0.5926 eV per atom. For the total energy, the calculation gives -0.132 Ha/atom. Its volume is 35.27 Å³ per atom.

***

# 17
Ba4AgBi | GGA-PBE | optimized geometry

Unit cell a=9.636 b=9.636 c=7.970 alpha=109.24 beta=109.24 gamma=109.76
Element x y z (fractional)
Ba 0.061 0.693 0.902
Ba 0.239 0.355 0.720
Ba 0.307 0.939 0.598
Ba 0.355 0.239 0.220
Ba 0.645 0.761 0.780
Ba 0.693 0.061 0.402
Ba 0.761 0.645 0.280
Ba 0.939 0.307 0.098
Ag 0.003 0.997 0.250
Ag 0.997 0.003 0.750
Bi 0.367 0.633 0.250
Bi 0.633 0.367 0.750

Results
As for the space-group type: C2/c, No. 15. The energy of formation is -0.4096 eV per atom. For the total energy, the calculation gives -0.103 Ha/atom. Its volume is 47.56 Å³ per atom.

***

# 18
Ba2Ag2Bi | GGA-PBE | optimized geometry

Unit cell a=8.359 b=8.359 c=4.835 alpha=90.00 beta=90.00 gamma=90.00
Element x y z (fractional)
Ba 0.187 0.313 0.000
Ba 0.313 0.813 0.000
Ba 0.687 0.187 0.000
Ba 0.813 0.687 0.000
Ag 0.117 0.617 0.500
Ag 0.383 0.117 0.500
Ag 0.617 0.883 0.500
Ag 0.883 0.383 0.500
Bi 0.000 0.000 0.500
Bi 0.500 0.500 0.500

Results
As for the space-group type: P4/mbm, No. 127. The energy of formation is -0.4411 eV per atom. For the total energy, the calculation gives -0.115 Ha/atom. Its volume is 33.78 Å³ per atom. The energy relative to the lowest polymorph listed for this composition comes out at 0.000 eV/atom.

***

# 19
BaAgBi | GGA-PBE | optimized geometry

Unit cell a=5.022 b=5.022 c=8.092 alpha=90.00 beta=90.00 gamma=90.00
Element x y z (fractional)
Ba 0.250 0.750 0.000
Ba 0.750 0.250 0.000
Ag 0.250 0.250 0.315
Ag 0.750 0.750 0.685
Bi 0.250 0.250 0.674
Bi 0.750 0.750 0.326

Results
As for the space-group type: P4/nmm, No. 129. The energy of formation is -0.0142 eV per atom. For the total energy, the calculation gives -0.107 Ha/atom. Its volume is 34.02 Å³ per atom.

***

# 20
BaAgBi | GGA-PBE | optimized geometry

Unit cell a=4.829 b=4.948 c=8.851 alpha=90.00 beta=90.00 gamma=90.00
Element x y z (fractional)
Ba 0.000 0.000 0.000
Ba 0.000 0.500 0.500
Ag 0.500 0.000 0.345
Ag 0.500 0.000 0.655
Bi 0.500 0.500 0.178
Bi 0.500 0.500 0.822

Results
As for the space-group type: Pmmm, No. 47. The energy of formation is -0.5240 eV per atom. For the total energy, the calculation gives -0.125 Ha/atom. Its volume is 35.25 Å³ per atom.

***

# 21
BaAg6Bi2 | GGA-PBE | optimized geometry

Unit cell a=4.773 b=4.773 c=9.942 alpha=90.00 beta=90.00 gamma=90.00
Element x y z (fractional)
Ba 0.000 0.000 0.000
Ag 0.000 0.000 0.500
Ag 0.000 0.500 0.338
Ag 0.000 0.500 0.662
Ag 0.500 0.000 0.338
Ag 0.500 0.000 0.662
Ag 0.500 0.500 0.500
Bi 0.500 0.500 0.166
Bi 0.500 0.500 0.834

Results
As for the space-group type: P4/mmm, No. 123. The energy of formation is -0.1644 eV per atom. For the total energy, the calculation gives -0.115 Ha/atom. Its volume is 25.16 Å³ per atom.

***

# 22
BaAg2Bi | GGA-PBE | optimized geometry

Unit cell a=6.706 b=6.706 c=8.359 alpha=90.00 beta=90.00 gamma=136.52
Element x y z (fractional)
Ba 0.066 0.934 0.750
Ba 0.934 0.066 0.250
Ag 0.239 0.761 0.080
Ag 0.239 0.761 0.420
Ag 0.761 0.239 0.580
Ag 0.761 0.239 0.920
Bi 0.357 0.643 0.750
Bi 0.643 0.357 0.250

Results
As for the space-group type: Cmcm, No. 63. The energy of formation is -0.2235 eV per atom. For the total energy, the calculation gives -0.114 Ha/atom. Its volume is 32.33 Å³ per atom.

***

# 23
BaCaAg2Bi2 | GGA-PBE | optimized geometry

Unit cell a=4.967 b=4.967 c=8.563 alpha=90.00 beta=90.00 gamma=120.00
Element x y z (fractional)
Ba 0.000 0.000 0.000
Ca 0.000 0.000 0.500
Ag 0.333 0.667 0.680
Ag 0.667 0.333 0.320
Bi 0.333 0.667 0.264
Bi 0.667 0.333 0.736

Results
As for the space-group type: P-3m1, No. 164. The energy of formation is -0.6044 eV per atom. For the total energy, the calculation gives -0.129 Ha/atom. Its volume is 30.50 Å³ per atom.

***

# 24
Ba2Cd3AgBi4 | GGA-PBE | optimized geometry

Unit cell a=5.375 b=5.375 c=11.462 alpha=90.00 beta=90.00 gamma=90.00
Element x y z (fractional)
Ba 0.000 0.500 0.244
Ba 0.500 0.000 0.756
Cd 0.000 0.000 0.000
Cd 0.000 0.500 0.626
Cd 0.500 0.000 0.374
Ag 0.500 0.500 0.000
Bi 0.000 0.000 0.500
Bi 0.000 0.500 0.878
Bi 0.500 0.000 0.122
Bi 0.500 0.500 0.500

Results
As for the space-group type: P-4m2, No. 115. The energy of formation is -0.3790 eV per atom. For the total energy, the calculation gives -0.106 Ha/atom. Its volume is 33.11 Å³ per atom.

***

# 25
Ba2CdAg3Bi4 | GGA-PBE | optimized geometry

Unit cell a=5.022 b=5.022 c=12.275 alpha=90.00 beta=90.00 gamma=90.00
Element x y z (fractional)
Ba 0.000 0.500 0.248
Ba 0.500 0.000 0.752
Cd 0.000 0.000 0.500
Ag 0.000 0.500 0.869
Ag 0.500 0.000 0.131
Ag 0.500 0.500 0.500
Bi 0.000 0.000 0.000
Bi 0.000 0.500 0.638
Bi 0.500 0.000 0.362
Bi 0.500 0.500 0.000

Results
As for the space-group type: P-4m2, No. 115. The energy of formation is -0.4180 eV per atom. For the total energy, the calculation gives -0.121 Ha/atom. Its volume is 30.96 Å³ per atom.